LaPmSO2, optimized geometry, DFT PBE-GGA; energy relative to the elements, uncorrected = -3.035 eV per atom; DOS(E_F) = 0.0 states/eV per cell; space-group type = I4mm, No. 107
1.0
-2.4486 -2.9647 -0.8015
2.7683 -1.6867 -2.2179
1.9519 -0.7668 6.4974
La Pm S O
1 1 1 2
direct
0.8506 0.8506 0.7013
0.1511 0.1511 0.3022
0.5027 0.5027 0.0054
0.7478 0.2478 0.4956
0.2478 0.7478 0.4956